Entry from the Alexandria database: a geometry-optimized KPm3Ag2Se6 structure (PBE).

Summary:
Total magnetic moment = 0.00 μB/f.u.
Formation energy (no corrections) = -1.35 eV/atom
SG = C2/m (12)

The structure in CIF format:
```
data_KPm3Ag2Se6
_cell_length_a 4.3411
_cell_length_b 9.1884
_cell_length_c 9.8997
_cell_angle_alpha 106.59
_cell_angle_beta 102.67
_cell_angle_gamma 90.00
_space_group_name_H-M_alt 'P 1'
_space_group_IT_number 1
loop_
_space_group_symop_operation_xyz
'x,y,z'
loop_
_atom_site_label
_atom_site_type_symbol
_atom_site_fract_x
_atom_site_fract_y
_atom_site_fract_z
K1 K 0.5000 0.0000 0.0000
Pm1 Pm 0.5000 0.5000 0.0000
Pm2 Pm 0.8265 0.1648 0.6530
Pm3 Pm 0.1735 0.8352 0.3470
Ag1 Ag 0.8735 0.5621 0.7469
Ag2 Ag 0.1265 0.4379 0.2531
Se1 Se 0.3280 0.9542 0.6560
Se2 Se 0.6662 0.6002 0.3324
Se3 Se 0.6720 0.0458 0.3440
Se4 Se 0.9901 0.2714 0.9803
Se5 Se 0.0099 0.7286 0.0197
Se6 Se 0.3338 0.3998 0.6676
```


Entry from the Alexandria database: a geometry-optimized Nd2SnOs structure (PBE).

Summary:
Energy relative to the elements = -0.29 eV/atom
Offset from the most stable computed form = 0.00 eV/f.u.
Total magnetic moment = 0.00 μB/f.u.
SG = P4/mmm (123)

The structure in CIF format:
```
data_Nd2SnOs
_cell_length_a 3.4877
_cell_length_b 3.4877
_cell_length_c 8.4768
_cell_angle_alpha 90.00
_cell_angle_beta 90.00
_cell_angle_gamma 90.00
_space_group_name_H-M_alt 'P 1'
_space_group_IT_number 1
loop_
_space_group_symop_operation_xyz
'x,y,z'
loop_
_atom_site_label
_atom_site_type_symbol
_atom_site_fract_x
_atom_site_fract_y
_atom_site_fract_z
Nd1 Nd 0.0000 0.0000 0.7936
Nd2 Nd 0.0000 0.0000 0.2064
Os1 Os 0.5000 0.5000 0.0000
Sn1 Sn 0.5000 0.5000 0.5000
```


Entry from the Alexandria database: a geometry-optimized Ta6Tc5Os structure (PBE).

Summary:
Energy relative to the elements = -0.48 eV/atom
Total magnetic moment = 0.00 μB/f.u.
SG = Immm (71)

The structure in CIF format:
```
data_Ta6Tc5Os
_cell_length_a 4.5133
_cell_length_b 6.3734
_cell_length_c 7.8005
_cell_angle_alpha 114.11
_cell_angle_beta 106.82
_cell_angle_gamma 90.00
_space_group_name_H-M_alt 'P 1'
_space_group_IT_number 1
loop_
_space_group_symop_operation_xyz
'x,y,z'
loop_
_atom_site_label
_atom_site_type_symbol
_atom_site_fract_x
_atom_site_fract_y
_atom_site_fract_z
Os1 Os 0.0000 0.0000 0.0000
Tc1 Tc 0.6656 0.1656 0.3313
Tc2 Tc 0.3331 0.3331 0.6662
Tc3 Tc 0.0000 0.5000 0.0000
Tc4 Tc 0.6669 0.6669 0.3338
Tc5 Tc 0.3344 0.8344 0.6687
Ta1 Ta 0.8325 0.5816 0.6651
Ta2 Ta 0.8325 0.0835 0.6651
Ta3 Ta 0.5000 0.7481 0.0000
Ta4 Ta 0.5000 0.2519 0.0000
Ta5 Ta 0.1675 0.9165 0.3349
Ta6 Ta 0.1675 0.4184 0.3349
```


Entry from the Alexandria database: a geometry-optimized Mg2BeF structure (PBE).

Summary:
Offset from the most stable computed form = 0.00 eV/f.u.
Total magnetic moment = 0.00 μB/f.u.
Formation energy (no corrections) = -0.69 eV/atom
SG = I-42d (122)

The structure in CIF format:
```
data_Mg2BeF
_cell_length_a 6.1675
_cell_length_b 6.1675
_cell_length_c 5.5440
_cell_angle_alpha 56.20
_cell_angle_beta 56.20
_cell_angle_gamma 90.00
_space_group_name_H-M_alt 'P 1'
_space_group_IT_number 1
loop_
_space_group_symop_operation_xyz
'x,y,z'
loop_
_atom_site_label
_atom_site_type_symbol
_atom_site_fract_x
_atom_site_fract_y
_atom_site_fract_z
Be1 Be 0.5000 0.5000 0.0000
Be2 Be 0.2500 0.7500 0.5000
Mg1 Mg 0.6844 0.1250 0.2500
Mg2 Mg 0.0656 0.6250 0.2500
Mg3 Mg 0.3750 0.3156 0.7500
Mg4 Mg 0.8750 0.9344 0.7500
F1 F 0.0000 0.0000 0.0000
F2 F 0.7500 0.2500 0.5000
```


Entry from the Alexandria database: a geometry-optimized SiTe3 structure (PBE).

Summary:
Total magnetic moment = 0.00 μB/f.u.
Formation energy (no corrections) = 0.31 eV/atom
SG = Pmm2 (25)

The structure in CIF format:
```
data_SiTe3
_cell_length_a 3.8597
_cell_length_b 3.8567
_cell_length_c 8.4224
_cell_angle_alpha 90.00
_cell_angle_beta 90.00
_cell_angle_gamma 90.00
_space_group_name_H-M_alt 'P 1'
_space_group_IT_number 1
loop_
_space_group_symop_operation_xyz
'x,y,z'
loop_
_atom_site_label
_atom_site_type_symbol
_atom_site_fract_x
_atom_site_fract_y
_atom_site_fract_z
Si1 Si 0.0000 0.0000 0.0144
Te1 Te 0.5000 0.0000 0.4540
Te2 Te 0.5000 0.5000 0.9019
Te3 Te 0.0000 0.5000 0.2964
```


Entry from the Alexandria database: a geometry-optimized Ac2CeGa12Co3 structure (PBE).

Summary:
Energy relative to the elements = -0.10 eV/atom
Total magnetic moment = 0.98 μB/f.u.
SG = R-3m (166)

The structure in CIF format:
```
data_Ac2CeGa12Co3
_cell_length_a 8.2044
_cell_length_b 8.2044
_cell_length_c 8.2044
_cell_angle_alpha 63.30
_cell_angle_beta 63.30
_cell_angle_gamma 63.30
_space_group_name_H-M_alt 'P 1'
_space_group_IT_number 1
loop_
_space_group_symop_operation_xyz
'x,y,z'
loop_
_atom_site_label
_atom_site_type_symbol
_atom_site_fract_x
_atom_site_fract_y
_atom_site_fract_z
Ac1 Ac 0.5897 0.5897 0.5897
Ac2 Ac 0.4103 0.4103 0.4103
Ce1 Ce 0.0000 0.0000 0.0000
Ga1 Ga 0.2766 0.2766 0.9135
Ga2 Ga 0.8430 0.8430 0.4678
Ga3 Ga 0.4678 0.8430 0.8430
Ga4 Ga 0.9135 0.2766 0.2766
Ga5 Ga 0.8430 0.4678 0.8430
Ga6 Ga 0.2766 0.9135 0.2766
Ga7 Ga 0.7234 0.7234 0.0865
Ga8 Ga 0.1570 0.1570 0.5322
Ga9 Ga 0.5322 0.1570 0.1570
Ga10 Ga 0.0865 0.7234 0.7234
Ga11 Ga 0.1570 0.5322 0.1570
Ga12 Ga 0.7234 0.0865 0.7234
Co1 Co 0.5000 0.0000 0.0000
Co2 Co 0.0000 0.5000 0.0000
Co3 Co 0.0000 0.0000 0.5000
```


Entry from the Alexandria database: a geometry-optimized LiTl2PdCl6 structure (PBE).

Summary:
Total magnetic moment = 0.96 μB/f.u.
Formation energy (no corrections) = -0.91 eV/atom
SG = R-3m (166)

The structure in CIF format:
```
data_LiTl2PdCl6
_cell_length_a 7.0480
_cell_length_b 7.0480
_cell_length_c 12.7188
_cell_angle_alpha 73.91
_cell_angle_beta 73.91
_cell_angle_gamma 60.00
_space_group_name_H-M_alt 'P 1'
_space_group_IT_number 1
loop_
_space_group_symop_operation_xyz
'x,y,z'
loop_
_atom_site_label
_atom_site_type_symbol
_atom_site_fract_x
_atom_site_fract_y
_atom_site_fract_z
Li1 Li 0.5844 0.5844 0.2467
Li2 Li 0.4156 0.4156 0.7533
Tl1 Tl 0.8821 0.8821 0.3537
Tl2 Tl 0.1179 0.1179 0.6463
Tl3 Tl 0.6968 0.6968 0.9097
Tl4 Tl 0.3032 0.3032 0.0903
Pd1 Pd 0.0000 0.0000 0.0000
Pd2 Pd 0.5000 0.5000 0.5000
Cl1 Cl 0.8565 0.3802 0.3831
Cl2 Cl 0.3802 0.8565 0.3831
Cl3 Cl 0.3802 0.3802 0.3831
Cl4 Cl 0.1435 0.6198 0.6169
Cl5 Cl 0.6198 0.1435 0.6169
Cl6 Cl 0.6198 0.6198 0.6169
Cl7 Cl 0.7119 0.2040 0.8800
Cl8 Cl 0.2040 0.7119 0.8800
Cl9 Cl 0.2040 0.2040 0.8800
Cl10 Cl 0.2881 0.7960 0.1200
Cl11 Cl 0.7960 0.2881 0.1200
Cl12 Cl 0.7960 0.7960 0.1200
```


Entry from the Alexandria database: a geometry-optimized Ba6Ag2RhAu structure (PBE).

Summary:
Energy relative to the elements = -0.31 eV/atom
Total magnetic moment = 0.00 μB/f.u.
SG = P2_1/c (14)

The structure in CIF format:
```
data_Ba6Ag2RhAu
_cell_length_a 7.9577
_cell_length_b 8.9073
_cell_length_c 11.8849
_cell_angle_alpha 90.00
_cell_angle_beta 88.44
_cell_angle_gamma 90.00
_space_group_name_H-M_alt 'P 1'
_space_group_IT_number 1
loop_
_space_group_symop_operation_xyz
'x,y,z'
loop_
_atom_site_label
_atom_site_type_symbol
_atom_site_fract_x
_atom_site_fract_y
_atom_site_fract_z
Ba1 Ba 0.3183 0.6727 0.0621
Ba2 Ba 0.8183 0.8273 0.5621
Ba3 Ba 0.6817 0.3273 0.9379
Ba4 Ba 0.1817 0.1727 0.4379
Ba5 Ba 0.3381 0.6940 0.4337
Ba6 Ba 0.8381 0.8060 0.9337
Ba7 Ba 0.6619 0.3060 0.5663
Ba8 Ba 0.1619 0.1940 0.0663
Ba9 Ba 0.8601 0.5415 0.2420
Ba10 Ba 0.3601 0.9585 0.7420
Ba11 Ba 0.1399 0.4585 0.7580
Ba12 Ba 0.6399 0.0415 0.2580
Ag1 Ag 0.0521 0.8912 0.2551
Ag2 Ag 0.5521 0.6088 0.7551
Ag3 Ag 0.9479 0.1088 0.7449
Ag4 Ag 0.4479 0.3912 0.2449
Rh1 Rh 0.5000 0.0000 0.5000
Rh2 Rh 0.0000 0.5000 0.0000
Au1 Au 0.5000 0.0000 0.0000
Au2 Au 0.0000 0.5000 0.5000
```